Computed, not measured: Ba2BiS2 after structural relaxation at the GGA-PBEsol level of DFT.

a = 7.2254 Å, b = 7.2254 Å, c = 7.2254 Å
α = 136.59°, β = 136.59°, γ = 63.07°
Last column: nearest neighbours and their distance in Å.
Fractional coordinates of all 5 atoms:
Ba: 0.1487 0.1487 0.0000  4 S 2.95
Ba: 0.8513 0.8513 0.0000  4 S 2.95
Bi: 0.5000 0.5000 0.0000  8 S 4.08, 10 Ba 4.20-4.33
S: 0.2500 0.7500 0.5000  4 Ba 2.95
S: 0.7500 0.2500 0.5000  4 Ba 2.95

Values from the calculation:
DFT total energy	-4.358	eV/atom
DOS(E_F)	4.9	states/eV per cell



Computed, not measured: Ba2Bi2Sb after structural relaxation at the GGA-PBEsol level of DFT.

a = 8.4624 Å, b = 8.4624 Å, c = 5.1198 Å
α = 90.00°, β = 90.00°, γ = 90.00°
Last column: nearest neighbours and their distance in Å.
Fractional coordinates of all 10 atoms:
Ba: 0.1756 0.3244 0.0000  6 Bi 3.46-3.66
Ba: 0.3244 0.8244 0.0000  6 Bi 3.46-3.66
Ba: 0.6756 0.1756 0.0000  6 Bi 3.46-3.66
Ba: 0.8244 0.6756 0.0000  6 Bi 3.46-3.66
Bi: 0.1305 0.6305 0.5000  1 Bi 3.12, 2 Sb 3.32, 2 Ba 3.46
Bi: 0.3695 0.1305 0.5000  1 Bi 3.12, 2 Sb 3.32, 2 Ba 3.46
Bi: 0.6305 0.8695 0.5000  1 Bi 3.12, 2 Sb 3.32, 2 Ba 3.46
Bi: 0.8695 0.3695 0.5000  1 Bi 3.12, 2 Sb 3.32, 2 Ba 3.46
Sb: 0.0000 0.0000 0.5000  4 Bi 3.32
Sb: 0.5000 0.5000 0.5000  4 Bi 3.32

Values from the calculation:
DFT total energy	-4.216	eV/atom
DOS(E_F)	5.5	states/eV per cell



Computed, not measured: BaBiSbTe2 after structural relaxation at the GGA-PBEsol level of DFT.

a = 5.8952 Å, b = 5.8952 Å, c = 5.7392 Å
α = 90.00°, β = 90.00°, γ = 90.00°
Last column: nearest neighbours and their distance in Å.
Fractional coordinates of all 5 atoms:
Ba: 0.0000 0.0000 0.0000  8 Te 4.11, 4 Sb 4.17
Bi: 0.5000 0.5000 0.5000  2 Sb 2.87, 4 Te 2.95
Sb: 0.5000 0.5000 0.0000  2 Bi 2.87
Te: 0.0000 0.5000 0.5000  2 Bi 2.95
Te: 0.5000 0.0000 0.5000  2 Bi 2.95

Values from the calculation:
DFT total energy	-3.841	eV/atom
DOS(E_F)	5.7	states/eV per cell



Computed, not measured: BaBi2Se after structural relaxation at the GGA-PBEsol level of DFT.

a = 7.3876 Å, b = 7.3876 Å, c = 7.3876 Å
α = 100.29°, β = 100.29°, γ = 130.01°
Last column: nearest neighbours and their distance in Å.
Fractional coordinates of all 8 atoms:
Ba: 0.0000 0.0000 0.0000  2 Se 3.12
Ba: 0.7500 0.2500 0.5000  2 Se 3.12
Bi: 0.1885 0.1250 0.5635  2 Se 3.05, 2 Bi 3.35
Bi: 0.3750 0.8115 0.9365  2 Se 3.05, 2 Bi 3.35
Bi: 0.5615 0.6250 0.4365  2 Se 3.05, 2 Bi 3.35
Bi: 0.8750 0.4385 0.0635  2 Se 3.05, 2 Bi 3.35
Se: 0.2500 0.7500 0.5000  4 Bi 3.05, 2 Ba 3.12
Se: 0.5000 0.5000 0.0000  4 Bi 3.05, 2 Ba 3.12

Values from the calculation:
DFT total energy	-4.092	eV/atom
DOS(E_F)	5.7	states/eV per cell



Computed, not measured: BaBi3Se after structural relaxation at the GGA-PBEsol level of DFT.

a = 5.6168 Å, b = 5.6168 Å, c = 5.6168 Å
α = 90.00°, β = 90.00°, γ = 90.00°
Last column: nearest neighbours and their distance in Å.
Fractional coordinates of all 5 atoms:
Ba: 0.0000 0.0000 0.0000  12 Bi 3.97
Bi: 0.0000 0.5000 0.5000  2 Se 2.81
Bi: 0.5000 0.0000 0.5000  2 Se 2.81
Bi: 0.5000 0.5000 0.0000  2 Se 2.81
Se: 0.5000 0.5000 0.5000  6 Bi 2.81

Values from the calculation:
DFT total energy	-3.937	eV/atom
DOS(E_F)	4.3	states/eV per cell



Computed, not measured: Ba2BiSe2 after structural relaxation at the GGA-PBEsol level of DFT.

a = 9.7387 Å, b = 9.7387 Å, c = 9.7387 Å
α = 154.78°, β = 154.78°, γ = 35.97°
Last column: nearest neighbours and their distance in Å.
Fractional coordinates of all 5 atoms:
Ba: 0.1161 0.1161 0.0000  4 Se 3.27
Ba: 0.8839 0.8839 0.0000  4 Se 3.27
Bi: 0.5000 0.5000 0.0000  8 Ba 3.70
Se: 0.2500 0.7500 0.5000  4 Se 3.01, 4 Ba 3.27
Se: 0.7500 0.2500 0.5000  4 Se 3.01, 4 Ba 3.27

Values from the calculation:
DFT total energy	-4.283	eV/atom
DOS(E_F)	2.0	states/eV per cell



Computed, not measured: BaZnBiSe2 after structural relaxation at the GGA-PBEsol level of DFT.

a = 5.6644 Å, b = 5.6644 Å, c = 5.1125 Å
α = 90.00°, β = 90.00°, γ = 90.00°
Last column: nearest neighbours and their distance in Å.
Fractional coordinates of all 5 atoms:
Ba: 0.0000 0.0000 0.0000  8 Se 3.82, 4 Zn 4.01
Zn: 0.5000 0.5000 0.0000  2 Bi 2.56
Bi: 0.5000 0.5000 0.5000  2 Zn 2.56, 4 Se 2.83
Se: 0.0000 0.5000 0.5000  2 Bi 2.83
Se: 0.5000 0.0000 0.5000  2 Bi 2.83

Values from the calculation:
DFT total energy	-3.647	eV/atom
DOS(E_F)	0.7	states/eV per cell



Computed, not measured: Ba2SiBi2 after structural relaxation at the GGA-PBEsol level of DFT.

a = 8.0688 Å, b = 8.0688 Å, c = 5.2683 Å
α = 90.00°, β = 90.00°, γ = 90.00°
Last column: nearest neighbours and their distance in Å.
Fractional coordinates of all 10 atoms:
Ba: 0.1760 0.3240 0.0000  6 Bi 3.41-3.65
Ba: 0.3240 0.8240 0.0000  6 Bi 3.41-3.65
Ba: 0.6760 0.1760 0.0000  6 Bi 3.41-3.65
Ba: 0.8240 0.6760 0.0000  6 Bi 3.41-3.65
Si: 0.0000 0.0000 0.5000  4 Bi 3.14
Si: 0.5000 0.5000 0.5000  4 Bi 3.14
Bi: 0.1348 0.6348 0.5000  1 Bi 3.08, 2 Si 3.14, 2 Ba 3.41
Bi: 0.3652 0.1348 0.5000  1 Bi 3.08, 2 Si 3.14, 2 Ba 3.41
Bi: 0.6348 0.8652 0.5000  1 Bi 3.08, 2 Si 3.14, 2 Ba 3.41
Bi: 0.8652 0.3652 0.5000  1 Bi 3.08, 2 Si 3.14, 2 Ba 3.41

Values from the calculation:
DFT total energy	-4.184	eV/atom
DOS(E_F)	3.8	states/eV per cell



Computed, not measured: Ba2SiBi after structural relaxation at the GGA-PBEsol level of DFT.

a = 7.2981 Å, b = 7.2981 Å, c = 7.2981 Å
α = 102.35°, β = 102.35°, γ = 124.90°
Last column: nearest neighbours and their distance in Å.
Fractional coordinates of all 8 atoms:
Ba: 0.1024 0.6250 0.9774  2 Si 3.21, 2 Ba 3.40, 2 Bi 3.49
Ba: 0.3750 0.3524 0.4774  2 Si 3.21, 2 Ba 3.40, 2 Bi 3.49
Ba: 0.6476 0.1250 0.0226  2 Si 3.21, 2 Ba 3.40, 2 Bi 3.49
Ba: 0.8750 0.8976 0.5226  2 Si 3.21, 2 Ba 3.40, 2 Bi 3.49
Si: 0.0000 0.0000 0.0000  4 Ba 3.21, 2 Bi 3.38
Si: 0.7500 0.2500 0.5000  4 Ba 3.21, 2 Bi 3.38
Bi: 0.2500 0.7500 0.5000  2 Si 3.38, 4 Ba 3.49
Bi: 0.5000 0.5000 0.0000  2 Si 3.38, 4 Ba 3.49

Values from the calculation:
DFT total energy	-3.768	eV/atom
DOS(E_F)	8.0	states/eV per cell



Computed, not measured: BaSi2Bi2 after structural relaxation at the GGA-PBEsol level of DFT.

a = 8.6007 Å, b = 8.6007 Å, c = 3.7561 Å
α = 90.00°, β = 90.00°, γ = 90.00°
Last column: nearest neighbours and their distance in Å.
Fractional coordinates of all 10 atoms:
Ba: 0.0000 0.0000 0.0000  4 Bi 3.37, 2 Ba 3.76
Ba: 0.5000 0.5000 0.0000  4 Bi 3.37, 2 Ba 3.76
Si: 0.1491 0.3509 0.5000  6 Bi 3.05-3.27
Si: 0.3509 0.8509 0.5000  6 Bi 3.05-3.27
Si: 0.6491 0.1491 0.5000  6 Bi 3.05-3.27
Si: 0.8509 0.6491 0.5000  6 Bi 3.05-3.27
Bi: 0.1303 0.6303 0.0000  6 Si 3.05-3.27, 1 Bi 3.17, 2 Ba 3.37
Bi: 0.3697 0.1303 0.0000  6 Si 3.05-3.27, 1 Bi 3.17, 2 Ba 3.37
Bi: 0.6303 0.8697 0.0000  6 Si 3.05-3.27, 1 Bi 3.17, 2 Ba 3.37
Bi: 0.8697 0.3697 0.0000  6 Si 3.05-3.27, 1 Bi 3.17, 2 Ba 3.37

Values from the calculation:
DFT total energy	-4.283	eV/atom
DOS(E_F)	4.7	states/eV per cell



Computed, not measured: BaSn2Bi2 after structural relaxation at the GGA-PBEsol level of DFT.

a = 8.5039 Å, b = 8.5039 Å, c = 8.5039 Å
α = 148.14°, β = 148.14°, γ = 45.68°
Last column: nearest neighbours and their distance in Å.
Fractional coordinates of all 5 atoms:
Ba: 0.0000 0.0000 0.0000  8 Bi 3.65
Sn: 0.2500 0.7500 0.5000  4 Sn 3.30, 4 Bi 3.31
Sn: 0.7500 0.2500 0.5000  4 Sn 3.30, 4 Bi 3.31
Bi: 0.4000 0.4000 0.0000  1 Bi 3.13, 4 Sn 3.31
Bi: 0.6000 0.6000 0.0000  1 Bi 3.13, 4 Sn 3.31

Values from the calculation:
DFT total energy	-4.153	eV/atom
DOS(E_F)	2.5	states/eV per cell
formation energy	-305	meV per atom



Computed, not measured: Ba2SnBi2 after structural relaxation at the GGA-PBEsol level of DFT.

a = 8.4562 Å, b = 8.4562 Å, c = 5.1353 Å
α = 90.00°, β = 90.00°, γ = 90.00°
Last column: nearest neighbours and their distance in Å.
Fractional coordinates of all 10 atoms:
Ba: 0.1767 0.3233 0.0000  6 Bi 3.46-3.67
Ba: 0.3233 0.8233 0.0000  6 Bi 3.46-3.67
Ba: 0.6767 0.1767 0.0000  6 Bi 3.46-3.67
Ba: 0.8233 0.6767 0.0000  6 Bi 3.46-3.67
Sn: 0.0000 0.0000 0.5000  4 Bi 3.32
Sn: 0.5000 0.5000 0.5000  4 Bi 3.32
Bi: 0.1291 0.6291 0.5000  1 Bi 3.09, 2 Sn 3.32
Bi: 0.3709 0.1291 0.5000  1 Bi 3.09, 2 Sn 3.32
Bi: 0.6291 0.8709 0.5000  1 Bi 3.09, 2 Sn 3.32
Bi: 0.8709 0.3709 0.5000  1 Bi 3.09, 2 Sn 3.32

Values from the calculation:
DFT total energy	-4.132	eV/atom
DOS(E_F)	5.7	states/eV per cell
formation energy	-707	meV per atom